Entry 1:
Material: Ni2RhWI
Method: DFT, PBE-GGA
State: optimized geometry

Unit cell a=4.5167 b=4.8525 c=4.5167 alpha=90.00 beta=90.00 gamma=90.00
With the nearest neighbours (Å) after each atom.
Fractional positions:
I 0.0000 0.0000 0.0000  4 Ni 2.26, 2 Rh 2.43
Ni 0.5000 0.0000 0.0000  2 I 2.26
Rh 0.0000 0.5000 0.0000  2 I 2.43
Ni 0.0000 0.0000 0.5000  2 I 2.26
W 0.5000 0.5000 0.5000  4 Rh 3.19, 8 Ni 3.31

## Properties
SG: P4/mmm, No. 123
D(E_F): 5.2 states/eV per cell
raw formation energy: 1748 meV per atom


Entry 2:
Material: Y2NiRhI
Method: DFT, PBE-GGA
State: optimized geometry

Unit cell a=5.3162 b=4.5163 c=5.3162 alpha=90.00 beta=90.00 gamma=90.00
With the nearest neighbours (Å) after each atom.
Fractional positions:
Y 0.0000 0.0000 0.5000  2 Ni 2.66
Rh 0.0000 0.5000 0.0000  2 Ni 2.26
Ni 0.0000 0.0000 0.0000  2 Rh 2.26
I 0.5000 0.5000 0.5000  8 Y 3.49, 4 Rh 3.76
Y 0.5000 0.0000 0.0000  2 Ni 2.66

## Properties
SG: P4/mmm, No. 123
D(E_F): 4.2 states/eV per cell
raw formation energy: -128 meV per atom


Entry 3:
Material: NiRu3I
Method: DFT, PBE-GGA
State: optimized geometry

Unit cell a=4.7805 b=4.7805 c=4.7805 alpha=90.00 beta=90.00 gamma=90.00
With the nearest neighbours (Å) after each atom.
Fractional positions:
Ru 0.0000 0.0000 0.5000  2 I 2.39
Ru 0.5000 0.0000 0.0000  2 I 2.39
I 0.0000 0.0000 0.0000  6 Ru 2.39
Ni 0.5000 0.5000 0.5000  12 Ru 3.38
Ru 0.0000 0.5000 0.0000  2 I 2.39

## Properties
SG: Pm-3m, No. 221
relative energy among the computed polymorphs: 552 meV/atom
D(E_F): 8.1 states/eV per cell
raw formation energy: 2101 meV per atom


Copy entry 3 word for word.
Material: NiRu3I
Method: DFT, PBE-GGA
State: optimized geometry

Unit cell a=4.7805 b=4.7805 c=4.7805 alpha=90.00 beta=90.00 gamma=90.00
With the nearest neighbours (Å) after each atom.
Fractional positions:
Ru 0.0000 0.0000 0.5000  2 I 2.39
Ru 0.5000 0.0000 0.0000  2 I 2.39
I 0.0000 0.0000 0.0000  6 Ru 2.39
Ni 0.5000 0.5000 0.5000  12 Ru 3.38
Ru 0.0000 0.5000 0.0000  2 I 2.39

## Properties
SG: Pm-3m, No. 221
relative energy among the computed polymorphs: 552 meV/atom
D(E_F): 8.1 states/eV per cell
raw formation energy: 2101 meV per atom


Number 1 is which compound?
Ni2RhWI